Below is a PBEsol-optimized structure of Mg14AlCuO16, with properties calculated at the SCAN level.

As for the crystal system: tetragonal. The calculation puts the energy above the lowest structure with this stoichiometry at 16 meV/atom. As for the energy relative to the elements, uncorrected: -2.8570 eV/atom. Its total moment is 0.00 μB/f.u.

The structure belongs to space group P4/mmm (No. 123); the cell edges are 8.465, 8.465 and 4.185 Å and the angles 90.00°, 90.00° and 90.00°. The inequivalent atoms are Mg at (0.000, 0.245, 0.000), Mg at (0.000, 0.500, 0.500), Mg at (0.245, 0.245, 0.500), Mg at (0.248, 0.500, 0.000), Al at (0.500, 0.500, 0.500), Cu at (0.000, 0.000, 0.500), O at (0.000, 0.000, 0.000), O at (0.000, 0.268, 0.500), O at (0.000, 0.500, 0.000), O at (0.251, 0.251, 0.000), O at (0.272, 0.500, 0.500) and O at (0.500, 0.500, 0.000).



Below is a PBEsol-optimized structure of TaIn2Au, with properties calculated at the SCAN level.

As for the crystal system: monoclinic. The calculation puts the energy above the lowest structure with this stoichiometry at 0 meV/atom. Its total moment is 0.00 μB/f.u.

The structure belongs to space group Cm (No. 8); the cell edges are 10.908, 2.980 and 5.176 Å and the angles 90.00°, 113.26° and 90.00°. The inequivalent atoms are Ta at (0.000, 0.000, 0.000), In at (0.024, 0.500, 0.502), In at (0.249, 0.500, 0.091) and Au at (0.280, 0.000, 0.602).



Below is a PBEsol-optimized structure of MnCoPb2, with properties calculated at the SCAN level.

As for the crystal system: monoclinic. The calculation puts the energy above the lowest structure with this stoichiometry at 192 meV/atom. Its total moment is 5.50 μB/f.u.

The structure belongs to space group C2/m (No. 12); the cell edges are 6.667, 6.673 and 3.300 Å and the angles 90.00°, 97.09° and 90.00°. The inequivalent atoms are Mn at (0.000, 0.000, 0.000), Co at (0.000, 0.500, 0.000) and Pb at (0.250, 0.250, 0.500).